i:
## BaCdSb (PBE)

Data for a relaxed structure of BaCdSb.

abc: 4.9144 4.9144 5.0281
angles: 90.00 90.00 120.00
Space group P3m1 (No. 156)
Unique sites:
Ba 0.0000 0.0000 0.0000
Cd 0.6667 0.3333 0.4340
Sb 0.3333 0.6667 0.5369

Computed properties:
* DOS at the Fermi energy: 1.87 states/eV/f.u.
* mass density: 5.9 Mg/m³
* total moment: 0.00 μB/cell

ii:
## BaCdSb (PBE)

Data for a relaxed structure of BaCdSb.

abc: 3.8250 4.3486 12.0241
angles: 90.00 90.00 90.00
Space group Imm2 (No. 44)
Unique sites:
Ba 0.0000 0.0000 0.0000
Cd 0.0000 0.0000 0.6896
Sb 0.0000 0.0000 0.3084

Computed properties:
* DOS at the Fermi energy: 1.53 states/eV/f.u.
* mass density: 6.2 Mg/m³
* total moment: 0.00 μB/cell

iii:
## BaCdSb (PBE)

Data for a relaxed structure of BaCdSb.

abc: 8.3484 4.9137 15.3167
angles: 90.00 97.15 90.00
Space group P2_1/m (No. 11)
Unique sites:
Ba 0.0387 0.2500 0.1233
Ba 0.1557 0.2500 0.4014
Ba 0.4304 0.7500 0.7903
Cd 0.1198 0.2500 0.7208
Cd 0.3630 0.7500 0.0523
Cd 0.4926 0.2500 0.5894
Sb 0.2722 0.2500 0.9458
Sb 0.2812 0.7500 0.2436
Sb 0.2895 0.7500 0.5619

Computed properties:
* DOS at the Fermi energy: 0.94 states/eV/f.u.
* mass density: 5.9 Mg/m³
* total moment: 0.00 μB/cell

iv:
## BaCdSb (PBE)

Data for a relaxed structure of BaCdSb.

abc: 7.5958 7.5958 7.5958
angles: 90.00 90.00 90.00
Space group F-43m (No. 216)
Unique sites:
Ba 0.0000 0.0000 0.0000
Cd 0.2500 0.2500 0.2500
Sb 0.0000 0.0000 0.5000

Computed properties:
* DOS at the Fermi energy: 2.34 states/eV/f.u.
* mass density: 5.6 Mg/m³
* total moment: 0.00 μB/cell

Q: Which of them is the most stable? A: iii.

i:
## BaCdSb2Te (PBE)

Data for a relaxed structure of BaCdSb2Te.

abc: 5.5609 5.5609 5.8676
angles: 90.00 90.00 90.00
Space group P4/mmm (No. 123)
Unique sites:
Ba 0.0000 0.0000 0.0000
Cd 0.5000 0.5000 0.5000
Sb 0.0000 0.5000 0.5000
Te 0.5000 0.5000 0.0000

Computed properties:
* DOS at the Fermi energy: 4.68 states/eV/f.u.
* mass density: 5.7 Mg/m³
* total moment: 0.00 μB/cell

ii:
## BaCdSb2Te (PBE)

Data for a relaxed structure of BaCdSb2Te.

abc: 6.4532 6.4532 6.4005
angles: 90.00 90.00 90.00
Space group P4/mmm (No. 123)
Unique sites:
Ba 0.0000 0.0000 0.0000
Cd 0.5000 0.5000 0.5000
Sb 0.0000 0.5000 0.0000
Te 0.0000 0.0000 0.5000

Computed properties:
* DOS at the Fermi energy: 7.52 states/eV/f.u.
* mass density: 3.9 Mg/m³
* total moment: 0.85 μB/cell

Q: Which of them is the most stable? A: i.

i:
## BaCdSbTe2 (PBE)

Data for a relaxed structure of BaCdSbTe2.

abc: 5.8339 5.8339 5.4270
angles: 90.00 90.00 90.00
Space group P4/mmm (No. 123)
Unique sites:
Ba 0.0000 0.0000 0.0000
Cd 0.5000 0.5000 0.5000
Sb 0.5000 0.5000 0.0000
Te 0.0000 0.5000 0.5000

Computed properties:
* DOS at the Fermi energy: 4.14 states/eV/f.u.
* mass density: 5.6 Mg/m³
* total moment: 0.00 μB/cell

ii:
## BaCdSbTe2 (PBE)

Data for a relaxed structure of BaCdSbTe2.

abc: 6.5613 6.5613 6.7174
angles: 90.00 90.00 90.00
Space group P4/mmm (No. 123)
Unique sites:
Ba 0.0000 0.0000 0.0000
Cd 0.5000 0.5000 0.5000
Sb 0.0000 0.0000 0.5000
Te 0.0000 0.5000 0.0000

Computed properties:
* DOS at the Fermi energy: 9.45 states/eV/f.u.
* mass density: 3.6 Mg/m³
* total moment: 2.65 μB/cell

Q: Which of them is the most stable? A: i.